TmCoNiB2: relaxed, GGA-PBE.

abc: 3.5144 3.5144 9.0345
angles: 90.00 90.00 90.00
Space group I-4m2 (No. 119)
Inequivalent atoms, fractional coordinates:
Tm  0.0000  0.0000  0.0000
Co  0.0000  0.5000  0.7500
Ni  0.0000  0.5000  0.2500
B  0.0000  0.0000  0.3739

Properties
total energy: -6.681 eV per atom
M_tot: 0.000 μB/f.u.
ΔH_f (0 K): -0.538 eV per atom
density of states at the Fermi level: 5.3 states/eV/cell